Entry from Alexandria: a relaxed structure of Li3BiH (PBE-GGA).

Properties
As for the space-group type: Pm-3m. The excess energy over the best structure of this formula in the dataset comes out at 0 meV per atom.

Cell lengths 4.241, 4.241, 4.241 Å; angles 90.00, 90.00, 90.00 degrees
Atoms (fractional coordinates):
Li 0.000 0.000 0.500
Li 0.000 0.500 0.000
Li 0.500 0.000 0.000
Bi 0.500 0.500 0.500
H 0.000 0.000 0.000

Entry from Alexandria: a relaxed structure of Li2BiH (PBE-GGA).

Properties
As for the space-group type: R3m. The excess energy over the best structure of this formula in the dataset comes out at 40 meV per atom.

Cell lengths 7.364, 7.364, 7.364 Å; angles 26.09, 26.09, 26.09 degrees
Atoms (fractional coordinates):
Li 0.000 0.000 0.000
Li 0.226 0.226 0.226
Bi 0.444 0.444 0.444
H 0.615 0.615 0.615

Entry from Alexandria: a relaxed structure of Li3BiH (PBE-GGA).

Properties
As for the space-group type: Pm-3m. The excess energy over the best structure of this formula in the dataset comes out at 618 meV per atom.

Cell lengths 5.387, 5.387, 5.387 Å; angles 90.00, 90.00, 90.00 degrees
Atoms (fractional coordinates):
Li 0.000 0.000 0.500
Li 0.000 0.500 0.000
Li 0.500 0.000 0.000
Bi 0.000 0.000 0.000
H 0.500 0.500 0.500

Entry from Alexandria: a relaxed structure of LiMgBi2H (PBE-GGA).

Properties
As for the space-group type: P4/mmm.

Cell lengths 5.086, 5.086, 4.105 Å; angles 90.00, 90.00, 90.00 degrees
Atoms (fractional coordinates):
Li 0.000 0.000 0.000
Mg 0.500 0.500 0.000
Bi 0.000 0.500 0.500
Bi 0.500 0.000 0.500
H 0.500 0.500 0.500

Entry from Alexandria: a relaxed structure of NaLi2BiH (PBE-GGA).

Properties
As for the space-group type: P4/mmm.

Cell lengths 4.440, 4.440, 4.585 Å; angles 90.00, 90.00, 90.00 degrees
Atoms (fractional coordinates):
Na 0.000 0.000 0.000
Li 0.000 0.500 0.500
Li 0.500 0.000 0.500
Bi 0.500 0.500 0.000
H 0.000 0.000 0.500

Entry from Alexandria: a relaxed structure of Na2Li5Bi3H2 (PBE-GGA).

Properties
As for the space-group type: I4/mmm.

Cell lengths 11.551, 11.551, 11.551 Å; angles 156.79, 156.79, 33.06 degrees
Atoms (fractional coordinates):
Na 0.189 0.189 0.000
Na 0.811 0.811 0.000
Li 0.000 0.000 0.000
Li 0.082 0.582 0.500
Li 0.418 0.918 0.500
Li 0.582 0.082 0.500
Li 0.918 0.418 0.500
Bi 0.338 0.338 0.000
Bi 0.500 0.500 0.000
Bi 0.662 0.662 0.000
H 0.081 0.081 0.000
H 0.919 0.919 0.000

Going through the records in order, we get raw total energy values of -2.995 -3.040 -2.376 -2.893 -2.764 -2.838 eV per atom.
Going through the records in order, we get calculated density values of 5.03 5.47 2.45 7.04 4.54 4.93 g/cm³.